A plane-wave DFT calculation with PBE-GGA was carried out for an optimized crystal structure of Nd3PuSc2Se6.

Summary:
The density of states at the Fermi level comes out at 1.174 states/eV/atom. The value obtained for the magnetization is 5.9 Bohr magnetons per cell. The value obtained for the formation energy (no corrections) is -1698.4 meV per atom.

Structure (POSCAR):
```
Nd3PuSc2Se6
1.0
-4.459 -2.428 4.898
6.950 -0.065 1.209
-1.246 7.042 0.658
Nd Se Sc Pu
3 6 2 1
direct
0.838 0.162 0.500
0.162 0.838 0.500
0.500 0.500 0.500
0.271 0.271 0.776
0.077 0.422 0.230
0.578 0.923 0.770
0.923 0.578 0.770
0.729 0.729 0.224
0.422 0.077 0.230
0.332 0.668 0.000
0.668 0.332 0.000
0.000 0.000 0.000
```